# Tb3Cu6Sn5 (PBE, optimized geometry)
# * mass density: 8.71 g/cm³
# * E_form: -0.401 eV/atom
# * spin magnetization: 0.00 μB/atom
data_Tb3Cu6Sn5
_symmetry_space_group_name_H-M 'I m m m'
_symmetry_Int_Tables_number 71
_symmetry_space_group_name_Hall '-I 2 2'
_cell_length_a 4.3410
_cell_length_b 9.9356
_cell_length_c 12.8284
_cell_angle_alpha 90.00
_cell_angle_beta 90.00
_cell_angle_gamma 90.00
loop_
_atom_site_label
_atom_site_type_symbol
_atom_site_fract_x
_atom_site_fract_y
_atom_site_fract_z
Tb1 Tb 0.0000 0.0000 0.0000
Tb2 Tb 0.0000 0.0000 0.3107
Cu1 Cu 0.0000 0.1914 0.5000
Cu2 Cu 0.0000 0.2852 0.1268
Sn1 Sn 0.0000 0.3523 0.3360
Sn2 Sn 0.0000 0.5000 0.0000